[1]
Here is MgSeBr2F after structural relaxation from the Alexandria database. Energies are from PBEsol.

Computed properties:
- Raw formation energy: -1.2 eV/f.u.

Geometry as CIF:
```
data_MgSeBr2F
_cell_length_a 5.035
_cell_length_b 5.035
_cell_length_c 5.311
_cell_angle_alpha 90.00
_cell_angle_beta 90.00
_cell_angle_gamma 90.00
_symmetry_space_group_name_H-M 'P 4/m m m'
_symmetry_Int_Tables_number 123
_symmetry_space_group_name_Hall '-P 4 2'
loop_
_atom_site_label
_atom_site_type_symbol
_atom_site_fract_x
_atom_site_fract_y
_atom_site_fract_z
_atom_site_occupancy
Mg1 Mg 0.000 0.000 0.000 1
Se1 Se 0.000 0.000 0.500 1
Br1 Br 0.000 0.500 0.000 1
F1 F 0.500 0.500 0.500 1
```

---

[2]
Here is GdP4H4NO12 after structural relaxation from the Alexandria database. Energies are from PBEsol.

Computed properties:
- E: -0.2787 Ha/atom

Geometry as CIF:
```
data_GdP4H4NO12
_cell_length_a 10.353
_cell_length_b 9.062
_cell_length_c 12.630
_cell_angle_alpha 90.00
_cell_angle_beta 124.94
_cell_angle_gamma 90.00
_symmetry_space_group_name_H-M 'P 1 21/c 1'
_symmetry_Int_Tables_number 14
loop_
_symmetry_equiv_pos_as_xyz
'x,y,z'
'-x,-y,-z'
'-x,y+1/2,-z+1/2'
'x,-y+1/2,z+1/2'
loop_
_atom_site_label
_atom_site_type_symbol
_atom_site_fract_x
_atom_site_fract_y
_atom_site_fract_z
_atom_site_occupancy
Gd1 Gd 0.188 0.222 0.191 1
P1 P 0.111 0.587 0.256 1
P2 P 0.181 0.672 0.640 1
P3 P 0.304 0.104 0.982 1
P4 P 0.482 0.526 0.732 1
H1 H 0.179 0.652 0.963 1
H2 H 0.219 0.565 0.865 1
H3 H 0.256 0.019 0.500 1
H4 H 0.371 0.620 0.020 1
N1 N 0.257 0.580 0.960 1
O1 O 0.023 0.174 0.262 1
O2 O 0.073 0.726 0.504 1
O3 O 0.076 0.048 0.675 1
O4 O 0.142 0.538 0.687 1
O5 O 0.201 0.153 0.023 1
O6 O 0.222 0.697 0.240 1
O7 O 0.236 0.550 0.405 1
O8 O 0.340 0.208 0.910 1
O9 O 0.352 0.656 0.667 1
O10 O 0.359 0.097 0.687 1
O11 O 0.438 0.085 0.294 1
O12 O 0.467 0.044 0.107 1
```

---

[3]
Here is LiHg2Au after structural relaxation from the Alexandria database. Energies are from PBEsol.

Computed properties:
- Energy of formation from the pure elements: -4.14 kcal/mol of atoms

Geometry as CIF:
```
data_LiHg2Au
_cell_length_a 6.018
_cell_length_b 9.464
_cell_length_c 3.081
_cell_angle_alpha 90.00
_cell_angle_beta 118.89
_cell_angle_gamma 90.00
_symmetry_space_group_name_H-M 'C 1 2/m 1'
_symmetry_Int_Tables_number 12
loop_
_symmetry_equiv_pos_as_xyz
'x,y,z'
'-x,-y,-z'
'-x,y,-z'
'x,-y,z'
'x+1/2,y+1/2,z'
'-x+1/2,-y+1/2,-z'
'-x+1/2,y+1/2,-z'
'x+1/2,-y+1/2,z'
loop_
_atom_site_label
_atom_site_type_symbol
_atom_site_fract_x
_atom_site_fract_y
_atom_site_fract_z
_atom_site_occupancy
Li1 Li 0.000 0.000 0.000 1
Hg1 Hg 0.250 0.250 0.500 1
Au1 Au 0.000 0.500 0.000 1
```

---

[4]
Here is K6Na14Tl18Hg after structural relaxation from the Alexandria database. Energies are from PBEsol.

Computed properties:
- Energy of formation from the pure elements: -3.34 kcal/mol of atoms

Geometry as CIF:
```
data_K6Na14Tl18Hg
_cell_length_a 10.531
_cell_length_b 10.531
_cell_length_c 10.531
_cell_angle_alpha 90.00
_cell_angle_beta 90.00
_cell_angle_gamma 90.00
_symmetry_space_group_name_H-M 'P m -3'
_symmetry_Int_Tables_number 200
_symmetry_space_group_name_Hall '-P 2 2 3'
loop_
_atom_site_label
_atom_site_type_symbol
_atom_site_fract_x
_atom_site_fract_y
_atom_site_fract_z
_atom_site_occupancy
K1 K 0.000 0.311 0.500 1
Na1 Na 0.000 0.500 0.166 1
Na2 Na 0.219 0.219 0.219 1
Tl1 Tl 0.000 0.000 0.220 1
Tl2 Tl 0.244 0.500 0.345 1
Hg1 Hg 0.500 0.500 0.500 1
```

---

[5]
Here is NaLa2Tl after structural relaxation from the Alexandria database. Energies are from PBEsol.

Computed properties:
- Energy of formation from the pure elements: -3.06 kcal/mol of atoms

Geometry as CIF:
```
data_NaLa2Tl
_cell_length_a 7.868
_cell_length_b 7.868
_cell_length_c 7.868
_cell_angle_alpha 90.00
_cell_angle_beta 90.00
_cell_angle_gamma 90.00
_symmetry_space_group_name_H-M 'F m -3 m'
_symmetry_Int_Tables_number 225
_symmetry_space_group_name_Hall '-F 4 2 3'
loop_
_atom_site_label
_atom_site_type_symbol
_atom_site_fract_x
_atom_site_fract_y
_atom_site_fract_z
_atom_site_occupancy
Na1 Na 0.000 0.000 0.000 1
La1 La 0.250 0.250 0.250 1
Tl1 Tl 0.000 0.000 0.500 1
```

---

[6]
Here is Sc2Mo after structural relaxation from the Alexandria database. Energies are from PBEsol.

Computed properties:
- Polymorph energy (0 for the lowest one): 10.2 kJ/mol of atoms
- Energy of formation from the pure elements: 3.54 kcal/mol of atoms

Geometry as CIF:
```
data_Sc2Mo
_cell_length_a 4.7145
_cell_length_b 4.7145
_cell_length_c 5.9142
_cell_angle_alpha 90.00
_cell_angle_beta 90.00
_cell_angle_gamma 120.00
_symmetry_space_group_name_H-M 'P 63/m m c'
_symmetry_Int_Tables_number 194
_symmetry_space_group_name_Hall '-P 6c 2c'
loop_
_atom_site_label
_atom_site_type_symbol
_atom_site_fract_x
_atom_site_fract_y
_atom_site_fract_z
_atom_site_occupancy
Sc1 Sc 0.0000 0.0000 0.0000 1
Sc2 Sc 0.3333 0.6667 0.2500 1
Mo1 Mo 0.3333 0.6667 0.7500 1
```

---

[7]
Here is KPb3 after structural relaxation from the Alexandria database. Energies are from PBEsol.

Computed properties:
- Energy of formation from the pure elements: -1.05 kcal/mol of atoms

Geometry as CIF:
```
data_KPb3
_cell_length_a 3.394
_cell_length_b 5.701
_cell_length_c 6.668
_cell_angle_alpha 90.00
_cell_angle_beta 96.65
_cell_angle_gamma 90.00
_symmetry_space_group_name_H-M 'P 1 2/m 1'
_symmetry_Int_Tables_number 10
loop_
_symmetry_equiv_pos_as_xyz
'x,y,z'
'-x,-y,-z'
'-x,y,-z'
'x,-y,z'
loop_
_atom_site_label
_atom_site_type_symbol
_atom_site_fract_x
_atom_site_fract_y
_atom_site_fract_z
_atom_site_occupancy
K1 K 0.000 0.000 0.000 1
Pb1 Pb 0.302 0.500 0.713 1
Pb2 Pb 0.500 0.000 0.500 1
```

---

[8]
Here is Tl2IrSe after structural relaxation from the Alexandria database. Energies are from PBEsol.

Computed properties:
- Raw formation energy: 2.6 eV/f.u.
- Polymorph energy (0 for the lowest one): 11.8 kJ/mol of atoms

Geometry as CIF:
```
data_Tl2IrSe
_cell_length_a 6.904
_cell_length_b 6.904
_cell_length_c 6.904
_cell_angle_alpha 90.00
_cell_angle_beta 90.00
_cell_angle_gamma 90.00
_symmetry_space_group_name_H-M 'F m -3 m'
_symmetry_Int_Tables_number 225
_symmetry_space_group_name_Hall '-F 4 2 3'
loop_
_atom_site_label
_atom_site_type_symbol
_atom_site_fract_x
_atom_site_fract_y
_atom_site_fract_z
_atom_site_occupancy
Tl1 Tl 0.250 0.250 0.250 1
Ir1 Ir 0.000 0.000 0.000 1
Se1 Se 0.000 0.000 0.500 1
```

---

[9]
Here is TbGePd after structural relaxation from the Alexandria database. Energies are from PBEsol.

Computed properties:
- Energy of formation from the pure elements: -23.81 kcal/mol of atoms

Geometry as CIF:
```
data_TbGePd
_cell_length_a 4.351
_cell_length_b 20.805
_cell_length_c 7.528
_cell_angle_alpha 90.00
_cell_angle_beta 90.00
_cell_angle_gamma 90.00
_symmetry_space_group_name_H-M 'I m m 2'
_symmetry_Int_Tables_number 44
loop_
_symmetry_equiv_pos_as_xyz
'x,y,z'
'-x,-y,z'
'-x,y,z'
'x,-y,z'
'x+1/2,y+1/2,z+1/2'
'-x+1/2,-y+1/2,z+1/2'
'-x+1/2,y+1/2,z+1/2'
'x+1/2,-y+1/2,z+1/2'
loop_
_atom_site_label
_atom_site_type_symbol
_atom_site_fract_x
_atom_site_fract_y
_atom_site_fract_z
_atom_site_occupancy
Tb1 Tb 0.000 0.000 0.000 1
Tb2 Tb 0.000 0.166 0.913 1
Tb3 Tb 0.000 0.332 0.994 1
Tb4 Tb 0.000 0.500 0.915 1
Ge1 Ge 0.000 0.095 0.295 1
Ge2 Ge 0.000 0.265 0.612 1
Ge3 Ge 0.000 0.435 0.296 1
Pd1 Pd 0.000 0.072 0.627 1
Pd2 Pd 0.000 0.232 0.284 1
Pd3 Pd 0.000 0.395 0.623 1
```

---

[10]
Here is CaMg2Au2 after structural relaxation from the Alexandria database. Energies are from PBEsol.

Computed properties:
- Polymorph energy (0 for the lowest one): 7.0 kJ/mol of atoms
- Energy of formation from the pure elements: -12.12 kcal/mol of atoms

Geometry as CIF:
```
data_CaMg2Au2
_cell_length_a 7.570
_cell_length_b 7.570
_cell_length_c 3.673
_cell_angle_alpha 90.00
_cell_angle_beta 90.00
_cell_angle_gamma 90.00
_symmetry_space_group_name_H-M 'P 4/m b m'
_symmetry_Int_Tables_number 127
_symmetry_space_group_name_Hall '-P 4 2ab'
loop_
_atom_site_label
_atom_site_type_symbol
_atom_site_fract_x
_atom_site_fract_y
_atom_site_fract_z
_atom_site_occupancy
Ca1 Ca 0.000 0.000 0.000 1
Mg1 Mg 0.154 0.346 0.500 1
Au1 Au 0.137 0.637 0.000 1
```

---

[11]
Here is KScGeMo2 after structural relaxation from the Alexandria database. Energies are from PBEsol.

Computed properties:
- Energy of formation from the pure elements: 53.85 kcal/mol of atoms

Geometry as CIF:
```
data_KScGeMo2
_cell_length_a 4.487
_cell_length_b 4.487
_cell_length_c 4.494
_cell_angle_alpha 90.00
_cell_angle_beta 90.00
_cell_angle_gamma 90.00
_symmetry_space_group_name_H-M 'P 4/m m m'
_symmetry_Int_Tables_number 123
_symmetry_space_group_name_Hall '-P 4 2'
loop_
_atom_site_label
_atom_site_type_symbol
_atom_site_fract_x
_atom_site_fract_y
_atom_site_fract_z
_atom_site_occupancy
K1 K 0.000 0.000 0.000 1
Sc1 Sc 0.000 0.000 0.500 1
Ge1 Ge 0.500 0.500 0.500 1
Mo1 Mo 0.000 0.500 0.000 1
```

---

[12]
Here is Li2CrAu after structural relaxation from the Alexandria database. Energies are from PBEsol.

Computed properties:
- Polymorph energy (0 for the lowest one): 0.0 kJ/mol of atoms
- Energy of formation from the pure elements: 1.45 kcal/mol of atoms

Geometry as CIF:
```
data_Li2CrAu
_cell_length_a 3.230
_cell_length_b 4.309
_cell_length_c 8.719
_cell_angle_alpha 90.00
_cell_angle_beta 90.00
_cell_angle_gamma 90.00
_symmetry_space_group_name_H-M 'I m m m'
_symmetry_Int_Tables_number 71
_symmetry_space_group_name_Hall '-I 2 2'
loop_
_atom_site_label
_atom_site_type_symbol
_atom_site_fract_x
_atom_site_fract_y
_atom_site_fract_z
_atom_site_occupancy
Li1 Li 0.000 0.000 0.240 1
Cr1 Cr 0.000 0.500 0.000 1
Au1 Au 0.000 0.500 0.500 1
```

---

Calculated values (states/eV per cell) of DOS at the Fermi energy for the records, taken in order: 9.2; 0.0; 2.2; 9.9; 19.3; 3.2; 2.1; 10.4; 13.1; 4.2; 4.2; 3.4.